i | Below is La2DyTm2 after structural relaxation, with properties calculated at the PBE level.

For the calculated volume, the calculation gives 714.0 Å³ per cell. For the density of states at the Fermi level, the calculation gives 1.8229 states/eV per atom.

The structure belongs to space group I4/mcm (No. 140); the cell edges are 10.5887, 10.5887 and 6.3678 Å and the angles 90.00°, 90.00° and 90.00°. The asymmetric unit holds La at (0.1099, 0.3901, 0.0000), Dy at (0.0000, 0.0000, 0.2500) and Tm at (0.1903, 0.3097, 0.5000).



ii | Below is La2DyTm2 after structural relaxation, with properties calculated at the PBE level.

For the calculated volume, the calculation gives 692.2 Å³ per cell. For the density of states at the Fermi level, the calculation gives 1.6059 states/eV per atom.

The structure belongs to space group C2/c (No. 15); the cell edges are 8.7986, 9.6232 and 8.8921 Å and the angles 90.00°, 113.16° and 90.00°. The asymmetric unit holds La at (0.1606, 0.0875, 0.1406), Dy at (0.0000, 0.2084, 0.7500), Tm at (0.0000, 0.5000, 0.0000) and Tm at (0.2500, 0.2500, 0.5000).



From most stable to least stable, the computed energies give ii, i.



i | Below is La4Dy2Tm5 after structural relaxation, with properties calculated at the PBE level.

For the calculated volume, the calculation gives 723.4 Å³ per cell. For the density of states at the Fermi level, the calculation gives 1.4914 states/eV per atom.

The structure belongs to space group C2/m (No. 12); the cell edges are 23.9043, 3.6652 and 8.8653 Å and the angles 90.00°, 111.36° and 90.00°. The asymmetric unit holds La at (0.0401, 0.0000, 0.2092), La at (0.1820, 0.5000, 0.3827), Dy at (0.1119, 0.5000, 0.9478), Tm at (0.0000, 0.5000, 0.5000), Tm at (0.1253, 0.0000, 0.6297) and Tm at (0.2503, 0.0000, 0.1583).



ii | Below is La4Dy2Tm5 after structural relaxation, with properties calculated at the PBE level.

For the calculated volume, the calculation gives 729.0 Å³ per cell. For the density of states at the Fermi level, the calculation gives 1.8720 states/eV per atom.

The structure belongs to space group C2/m (No. 12); the cell edges are 24.1696, 3.4350 and 8.8350 Å and the angles 90.00°, 96.35° and 90.00°. The asymmetric unit holds La at (0.0899, 0.0000, 0.2457), La at (0.1773, 0.5000, 0.9697), Dy at (0.0453, 0.0000, 0.8570), Tm at (0.0000, 0.5000, 0.5000), Tm at (0.1403, 0.0000, 0.6155) and Tm at (0.2347, 0.0000, 0.3323).



From most stable to least stable, the computed energies give i, ii.



i | Below is La5Dy4Tm2 after structural relaxation, with properties calculated at the PBE level.

For the calculated volume, the calculation gives 743.2 Å³ per cell. For the density of states at the Fermi level, the calculation gives 1.4214 states/eV per atom.

The structure belongs to space group C2/m (No. 12); the cell edges are 17.7840, 3.5653 and 11.7485 Å and the angles 90.00°, 93.92° and 90.00°. The asymmetric unit holds La at (0.0000, 0.0000, 0.0000), La at (0.0981, 0.5000, 0.5356), La at (0.1769, 0.5000, 0.0728), Dy at (0.0372, 0.5000, 0.2628), Dy at (0.1408, 0.0000, 0.7970) and Tm at (0.2153, 0.0000, 0.3500).



ii | Below is La5Dy4Tm2 after structural relaxation, with properties calculated at the PBE level.

For the calculated volume, the calculation gives 779.2 Å³ per cell. For the density of states at the Fermi level, the calculation gives 1.6915 states/eV per atom.

The structure belongs to space group Immm (No. 71); the cell edges are 3.5380, 9.2565 and 23.7916 Å and the angles 90.00°, 90.00° and 90.00°. The asymmetric unit holds La at (0.0000, 0.0000, 0.0000), La at (0.0000, 0.2983, 0.3519), Dy at (0.0000, 0.1856, 0.5000), Dy at (0.0000, 0.5000, 0.0966) and Tm at (0.0000, 0.5000, 0.2299).



From most stable to least stable, the computed energies give i, ii.



i | Below is LaDy2Tm7 after structural relaxation, with properties calculated at the PBE level.

For the calculated volume, the calculation gives 309.6 Å³ per cell. For the density of states at the Fermi level, the calculation gives 1.3700 states/eV per atom.

The structure belongs to space group P-1 (No. 2); the cell edges are 6.1033, 7.0494 and 7.8769 Å and the angles 77.10°, 75.13° and 73.26°. The asymmetric unit holds La at (0.0000, 0.0000, 0.0000), Dy at (0.2000, 0.3014, 0.5985), Tm at (0.0000, 0.5000, 0.0000), Tm at (0.2012, 0.7991, 0.5989), Tm at (0.3996, 0.1005, 0.2015) and Tm at (0.4016, 0.5981, 0.2016).



ii | Below is LaDy2Tm7 after structural relaxation, with properties calculated at the PBE level.

For the calculated volume, the calculation gives 775.0 Å³ per cell. For the density of states at the Fermi level, the calculation gives 1.4138 states/eV per atom.

The structure belongs to space group Cmmm (No. 65); the cell edges are 8.6478, 16.0779 and 5.5742 Å and the angles 90.00°, 90.00° and 90.00°. The asymmetric unit holds La at (0.0000, 0.0000, 0.0000), Dy at (0.0000, 0.2970, 0.5000), Tm at (0.0000, 0.2156, 0.0000), Tm at (0.0000, 0.5000, 0.5000) and Tm at (0.1761, 0.1157, 0.5000).



From most stable to least stable, the computed energies give i, ii.



i | Below is La2Dy5Tm4 after structural relaxation, with properties calculated at the PBE level.

For the calculated volume, the calculation gives 722.4 Å³ per cell. For the density of states at the Fermi level, the calculation gives 1.5527 states/eV per atom.

The structure belongs to space group C2/m (No. 12); the cell edges are 16.4998, 6.6540 and 6.6996 Å and the angles 90.00°, 100.85° and 90.00°. The asymmetric unit holds La at (0.2007, 0.0000, 0.2977), Dy at (0.0000, 0.0000, 0.5000), Dy at (0.0882, 0.2638, 0.9067), Tm at (0.0864, 0.5000, 0.4044) and Tm at (0.2435, 0.0000, 0.8072).



ii | Below is La2Dy5Tm4 after structural relaxation, with properties calculated at the PBE level.

For the calculated volume, the calculation gives 355.8 Å³ per cell. For the density of states at the Fermi level, the calculation gives 1.4055 states/eV per atom.

The structure belongs to space group P-1 (No. 2); the cell edges are 3.5174, 8.9243 and 11.5925 Å and the angles 85.66°, 89.98° and 78.72°. The asymmetric unit holds La at (0.2173, 0.0652, 0.3527), Dy at (0.0000, 0.5000, 0.0000), Dy at (0.3240, 0.8522, 0.9357), Dy at (0.4042, 0.6864, 0.4615), Tm at (0.1392, 0.2223, 0.7983) and Tm at (0.4688, 0.5635, 0.7467).



From most stable to least stable, the computed energies give ii, i.



i | Below is LaDyTm4 after structural relaxation, with properties calculated at the PBE level.

For the calculated volume, the calculation gives 780.0 Å³ per cell. For the density of states at the Fermi level, the calculation gives 1.7324 states/eV per atom.

The structure belongs to space group C2/c (No. 15); the cell edges are 8.8065, 14.6464 and 6.3907 Å and the angles 90.00°, 108.87° and 90.00°. The asymmetric unit holds La at (0.0000, 0.0823, 0.2500), Dy at (0.0000, 0.4974, 0.7500), Tm at (0.0938, 0.3054, 0.5314) and Tm at (0.2081, 0.1357, 0.8817).



ii | Below is LaDyTm4 after structural relaxation, with properties calculated at the PBE level.

For the calculated volume, the calculation gives 188.7 Å³ per cell. For the density of states at the Fermi level, the calculation gives 1.7103 states/eV per atom.

The structure belongs to space group Pmmm (No. 47); the cell edges are 3.4635, 5.6134 and 9.7053 Å and the angles 90.00°, 90.00° and 90.00°. The asymmetric unit holds La at (0.0000, 0.0000, 0.0000), Dy at (0.0000, 0.5000, 0.5000), Tm at (0.5000, 0.0000, 0.3370) and Tm at (0.5000, 0.5000, 0.1710).



From most stable to least stable, the computed energies give ii, i.



i | Below is La3Dy4Tm after structural relaxation, with properties calculated at the PBE level.

For the calculated volume, the calculation gives 531.3 Å³ per cell. For the density of states at the Fermi level, the calculation gives 1.2828 states/eV per atom.

The structure belongs to space group Pmmn (No. 59, origin choice 2); the cell edges are 7.2267, 10.2281 and 7.1878 Å and the angles 90.00°, 90.00° and 90.00°. The asymmetric unit holds La at (0.0000, 0.0000, 0.0000), La at (0.2500, 0.2500, 0.2570), Dy at (0.0000, 0.0000, 0.5000), Dy at (0.2500, 0.7500, 0.2552), Dy at (0.2500, 0.7500, 0.7439) and Tm at (0.2500, 0.2500, 0.7467).



ii | Below is La3Dy4Tm after structural relaxation, with properties calculated at the PBE level.

For the calculated volume, the calculation gives 543.3 Å³ per cell. For the density of states at the Fermi level, the calculation gives 1.5394 states/eV per atom.

The structure belongs to space group Immm (No. 71); the cell edges are 3.5128, 11.8247 and 13.0785 Å and the angles 90.00°, 90.00° and 90.00°. The asymmetric unit holds La at (0.0000, 0.0000, 0.0000), La at (0.0000, 0.5000, 0.2434), Dy at (0.0000, 0.2445, 0.3658) and Tm at (0.0000, 0.0000, 0.5000).



From most stable to least stable, the computed energies give i, ii.



i | Below is La3Dy2Tm2 after structural relaxation, with properties calculated at the PBE level.

For the calculated volume, the calculation gives 467.3 Å³ per cell. For the density of states at the Fermi level, the calculation gives 1.4389 states/eV per atom.

The structure belongs to space group C2/m (No. 12); the cell edges are 12.0217, 3.6328 and 10.7551 Å and the angles 90.00°, 95.80° and 90.00°. The asymmetric unit holds La at (0.0000, 0.0000, 0.0000), La at (0.1425, 0.0000, 0.5715), Dy at (0.2158, 0.5000, 0.8598) and Tm at (0.0741, 0.5000, 0.2827).



ii | Below is La3Dy2Tm2 after structural relaxation, with properties calculated at the PBE level.

For the calculated volume, the calculation gives 470.3 Å³ per cell. For the density of states at the Fermi level, the calculation gives 1.5593 states/eV per atom.

The structure belongs to space group C2/m (No. 12); the cell edges are 17.7375, 3.5106 and 8.5939 Å and the angles 90.00°, 118.50° and 90.00°. The asymmetric unit holds La at (0.0000, 0.0000, 0.0000), La at (0.2141, 0.0000, 0.2932), Dy at (0.0647, 0.5000, 0.4117) and Tm at (0.1403, 0.0000, 0.8197).



From most stable to least stable, the computed energies give i, ii.